No. 1
A plane-wave DFT calculation with PBE was carried out for a relaxed structure of BaVH3.

extended XYZ file:
```
5
Lattice="4.0455 0.0000 0.0000 0.0000 4.0455 0.0000 0.0000 0.0000 4.0455" Properties=species:S:1:pos:R:3 pbc="T T T"
Ba 0.0000 0.0000 0.0000
V 2.0227 2.0227 2.0227
H 0.0000 2.0227 2.0227
H 2.0227 0.0000 2.0227
H 2.0227 2.0227 0.0000
```

Space-group type: Pm-3m
Energy, eV/cell: -21.84


No. 2
A plane-wave DFT calculation with PBE was carried out for a relaxed structure of K3BF6.

extended XYZ file:
```
20
Lattice="5.8997 -4.4351 0.0000 5.8997 4.4351 0.0000 0.0000 0.0000 6.7343" Properties=species:S:1:pos:R:3 pbc="T T T"
K 5.8997 4.1771 3.3672
K 3.3287 1.2879 4.2513
K 3.3287 -1.2879 0.8841
K 8.4707 1.2879 4.2513
K 8.4707 -1.2879 0.8841
K 5.8997 -4.1771 0.0000
B 5.8997 1.3855 1.3191
B 5.8997 -1.3855 4.6862
F 1.9490 0.6821 1.8012
F 4.7508 1.8411 2.0377
F 1.9490 -0.6821 5.1684
F 5.8997 1.9569 0.0412
F 7.0486 1.8411 2.0377
F 5.8997 0.0191 4.6046
F 5.8997 -0.0191 1.2374
F 4.7508 -1.8411 5.4049
F 5.8997 -1.9569 3.4084
F 9.8504 0.6821 1.8012
F 7.0486 -1.8411 5.4049
F 9.8504 -0.6821 5.1684
```

Space-group type: Cmc2_1
ΔE_f (raw), kJ per mole of atoms: -275


No. 3
A plane-wave DFT calculation with PBE was carried out for a relaxed structure of SmMg3Pt2.

extended XYZ file:
```
12
Lattice="-2.0175 4.6030 6.8288 2.0175 -4.6030 6.8288 2.0175 4.6030 -6.8288" Properties=species:S:1:pos:R:3 pbc="T T T"
Sm 0.0000 0.0000 1.7934
Sm 0.0000 0.0000 11.8643
Mg 2.0175 2.8285 -2.2642
Mg 0.0000 3.1746 0.0000
Mg 2.0175 2.8285 2.2642
Mg 0.0000 1.7745 4.5646
Mg 0.0000 6.0315 0.0000
Mg 0.0000 1.7745 9.0931
Pt 2.0175 1.4015 0.0000
Pt 2.0175 0.0000 4.1676
Pt 0.0000 4.6030 2.6613
Pt 0.0000 3.2016 6.8288
```

Space-group type: Immm
Energy of formation, eV per atom: -0.752


No. 4
A plane-wave DFT calculation with PBE was carried out for a relaxed structure of Ca3AcCu.

extended XYZ file:
```
5
Lattice="5.7072 0.0000 0.0000 0.0000 5.7072 0.0000 0.0000 0.0000 5.7072" Properties=species:S:1:pos:R:3 pbc="T T T"
Ca 0.0000 0.0000 2.8536
Ca 0.0000 2.8536 0.0000
Ca 2.8536 0.0000 0.0000
Ac 2.8536 2.8536 2.8536
Cu 0.0000 0.0000 0.0000
```

Space-group type: Pm-3m
Energy of formation, eV per atom: 0.063


No. 5
A plane-wave DFT calculation with PBE was carried out for a relaxed structure of Tb2Pm12Ho5.

extended XYZ file:
```
19
Lattice="7.8562 -5.1149 0.0000 7.8562 5.1149 0.0000 -0.2563 0.0000 8.0178" Properties=species:S:1:pos:R:3 pbc="T T T"
Tb 7.8562 2.5968 0.0000
Tb 7.8562 -2.5968 0.0000
Pm 4.8160 2.7666 1.6555
Pm 2.3136 0.0000 0.9576
Pm 6.0324 2.3129 4.9079
Pm 9.4238 2.3129 3.1099
Pm 10.6401 2.7666 6.3623
Pm 6.9653 0.0000 2.3211
Pm 8.4908 0.0000 5.6967
Pm 4.8160 -2.7666 1.6555
Pm 6.0324 -2.3129 4.9079
Pm 9.4238 -2.3129 3.1099
Pm 13.1425 0.0000 7.0603
Pm 10.6401 -2.7666 6.3623
Ho -0.1281 0.0000 4.0089
Ho 3.7284 0.0000 3.9111
Ho 5.2597 0.0000 7.3347
Ho 10.1965 0.0000 0.6831
Ho 11.7277 0.0000 4.1067
```

Space-group type: C2/m
Energy of formation, eV per atom: 0.132


No. 6
A plane-wave DFT calculation with PBE was carried out for a relaxed structure of KYRe2.

extended XYZ file:
```
4
Lattice="2.7733 0.0000 0.0000 0.0000 2.7733 0.0000 0.0000 0.0000 10.8103" Properties=species:S:1:pos:R:3 pbc="T T T"
K 0.0000 0.0000 0.0000
Y 0.0000 0.0000 5.4051
Re 1.3867 1.3867 2.9572
Re 1.3867 1.3867 7.8531
```

Space-group type: P4/mmm
Energy of formation, eV per atom: 1.105


No. 7
A plane-wave DFT calculation with PBE was carried out for a relaxed structure of InTc3Te.

extended XYZ file:
```
5
Lattice="4.8358 0.0000 0.0000 0.0000 4.8358 0.0000 0.0000 0.0000 4.8358" Properties=species:S:1:pos:R:3 pbc="T T T"
In 0.0000 0.0000 0.0000
Tc 0.0000 2.4179 2.4179
Tc 2.4179 0.0000 2.4179
Tc 2.4179 2.4179 0.0000
Te 2.4179 2.4179 2.4179
```

Space-group type: Pm-3m
ΔE_f (raw), kJ per mole of atoms: 144


No. 8
A plane-wave DFT calculation with PBE was carried out for a relaxed structure of BiSe2BrF.

extended XYZ file:
```
5
Lattice="5.6924 0.0000 0.0000 0.0000 5.6924 0.0000 0.0000 0.0000 5.6272" Properties=species:S:1:pos:R:3 pbc="T T T"
Bi 0.0000 0.0000 0.0000
Se 0.0000 2.8462 0.0000
Se 2.8462 0.0000 0.0000
Br 0.0000 0.0000 2.8136
F 2.8462 2.8462 2.8136
```

Space-group type: P4/mmm
ΔE_f (raw), kJ per mole of atoms: 23